Computed, not measured: an optimized crystal structure of Cs3Na2TeO6 at the PBE level of DFT.

Computed properties:
**Calculated density**: 4820 kg/m³
**Crystal system**: monoclinic
**Spin magnetization**: 1.09 μB/f.u.
**Total DFT energy (no corrections)**: -53.126 eV per formula unit
**Volume**: 19.19 Å³/atom

Cell lengths 6.3848, 6.3848, 6.8466 Å; angles 97.80, 97.80, 120.90 degrees
With the nearest neighbours (Å) after each atom.
Fractional positions:
Cs: 0.0000 0.0000 0.0000  6 O 2.96-3.27
Cs: 0.3245 0.6755 0.0000  4 O 2.92-2.93
Cs: 0.6755 0.3245 0.0000  4 O 2.92-2.93
Na: 0.1665 0.8335 0.5000  6 O 2.54-2.71
Na: 0.8335 0.1665 0.5000  6 O 2.54-2.71
Te: 0.5000 0.5000 0.5000  6 O 1.98-1.99
O: 0.1836 0.4395 0.3386  1 Te 1.98
O: 0.3048 0.3048 0.6836  1 Te 1.99
O: 0.4395 0.1836 0.3386  1 Te 1.98
O: 0.5605 0.8164 0.6614  1 Te 1.98
O: 0.6952 0.6952 0.3164  1 Te 1.99
O: 0.8164 0.5605 0.6614  1 Te 1.98